# 1
Compound: BaMnTe
Source: Alexandria
Functional: PBEsol
Structure: optimized geometry

Unit cell a=4.5900 b=4.5900 c=4.8085 alpha=90.00 beta=90.00 gamma=120.00
Space group P-6m2 (No. 187)
Symmetry-distinct sites (fractional):
Ba (0.0000, 0.0000, 0.0000) x1
Mn (0.3333, 0.6667, 0.5000) x1
Te (0.6667, 0.3333, 0.5000) x1

The formation energy (no corrections) is -357 meV/atom.

***

# 2
Compound: BaTiMn3
Source: Alexandria
Functional: PBEsol
Structure: optimized geometry

Unit cell a=4.804 b=4.804 c=4.804 alpha=90.00 beta=90.00 gamma=90.00
Space group Pm-3m (No. 221)
Symmetry-distinct sites (fractional):
Ba (0.000, 0.000, 0.000) x1
Ti (0.500, 0.500, 0.500) x1
Mn (0.000, 0.500, 0.500) x3

For the total energy, the calculation gives -6.99 eV per atom.

***

# 3
Compound: BaTiMnW2
Source: Alexandria
Functional: PBEsol
Structure: optimized geometry

Unit cell a=4.721 b=4.721 c=5.030 alpha=90.00 beta=90.00 gamma=90.00
Space group P4/mmm (No. 123)
Symmetry-distinct sites (fractional):
Ba (0.000, 0.000, 0.000) x1
Ti (0.500, 0.500, 0.500) x1
Mn (0.500, 0.500, 0.000) x1
W (0.000, 0.500, 0.500) x2

For the total energy, the calculation gives -7.92 eV per atom.

***

# 4
Compound: BaMnTl2
Source: Alexandria
Functional: PBEsol
Structure: optimized geometry

Unit cell a=4.7128 b=4.7128 c=18.8102 alpha=90.00 beta=90.00 gamma=120.00
Space group R3m (No. 160, hexagonal axes)
Symmetry-distinct sites (fractional):
Ba (0.0000, 0.0000, 0.0000) x3
Mn (0.0000, 0.0000, 0.8136) x3
Tl (0.0000, 0.0000, 0.2101) x3
Tl (0.0000, 0.0000, 0.4534) x3

For the total energy, the calculation gives -4.19 eV per atom.

***

# 5
Compound: BaMnTl
Source: Alexandria
Functional: PBEsol
Structure: optimized geometry

Unit cell a=4.7862 b=4.7862 c=4.6434 alpha=90.00 beta=90.00 gamma=120.00
Space group P-6m2 (No. 187)
Symmetry-distinct sites (fractional):
Ba (0.0000, 0.0000, 0.0000) x1
Mn (0.6667, 0.3333, 0.5000) x1
Tl (0.3333, 0.6667, 0.5000) x1

For the total energy, the calculation gives -4.60 eV per atom.

***

# 6
Compound: BaMnTl2
Source: Alexandria
Functional: PBEsol
Structure: optimized geometry

Unit cell a=3.810 b=3.810 c=7.814 alpha=90.00 beta=90.00 gamma=90.00
Space group P4mm (No. 99)
Symmetry-distinct sites (fractional):
Ba (0.000, 0.000, 0.000) x1
Mn (0.500, 0.500, 0.313) x1
Tl (0.000, 0.000, 0.448) x1
Tl (0.500, 0.500, 0.694) x1

For the total energy, the calculation gives -4.03 eV per atom.

***

# 7
Compound: BaMnTl2
Source: Alexandria
Functional: PBEsol
Structure: optimized geometry

Unit cell a=7.633 b=7.633 c=7.633 alpha=90.00 beta=90.00 gamma=90.00
Space group Fm-3m (No. 225)
Symmetry-distinct sites (fractional):
Ba (0.000, 0.000, 0.000) x4
Mn (0.000, 0.000, 0.500) x4
Tl (0.250, 0.250, 0.250) x8

For the total energy, the calculation gives -4.10 eV per atom.

***

# 8
Compound: BaMnW3
Source: Alexandria
Functional: PBEsol
Structure: optimized geometry

Unit cell a=4.911 b=4.911 c=4.911 alpha=90.00 beta=90.00 gamma=90.00
Space group Pm-3m (No. 221)
Symmetry-distinct sites (fractional):
Ba (0.000, 0.000, 0.000) x1
Mn (0.500, 0.500, 0.500) x1
W (0.000, 0.000, 0.500) x3

For the total energy, the calculation gives -6.68 eV per atom.

***

# 9
Compound: Ba2MnW
Source: Alexandria
Functional: PBEsol
Structure: optimized geometry

Unit cell a=7.496 b=7.496 c=7.496 alpha=90.00 beta=90.00 gamma=90.00
Space group F-43m (No. 216)
Symmetry-distinct sites (fractional):
Ba (0.000, 0.000, 0.000) x4
Ba (0.250, 0.250, 0.250) x4
Mn (0.250, 0.250, 0.750) x4
W (0.000, 0.000, 0.500) x4

For the total energy, the calculation gives -5.53 eV per atom.

***

# 10
Compound: BaYMn2
Source: Alexandria
Functional: PBEsol
Structure: optimized geometry

Unit cell a=3.4136 b=3.4136 c=30.4082 alpha=90.00 beta=90.00 gamma=120.00
Space group R3m (No. 160, hexagonal axes)
Symmetry-distinct sites (fractional):
Ba (0.0000, 0.0000, 0.0000) x3
Y (0.0000, 0.0000, 0.7798) x3
Mn (0.0000, 0.0000, 0.2448) x3
Mn (0.0000, 0.0000, 0.5178) x3

For the total energy, the calculation gives -6.23 eV per atom.

***

# 11
Compound: BaYMn
Source: Alexandria
Functional: PBEsol
Structure: optimized geometry

Unit cell a=7.286 b=7.286 c=7.286 alpha=90.00 beta=90.00 gamma=90.00
Space group F-43m (No. 216)
Symmetry-distinct sites (fractional):
Ba (0.000, 0.000, 0.000) x4
Y (0.000, 0.000, 0.500) x4
Mn (0.250, 0.250, 0.250) x4

The energy above the most stable polymorph in this dataset comes out at 154.6 meV/atom.

***

# 12
Compound: BaYMn
Source: Alexandria
Functional: PBEsol
Structure: optimized geometry

Unit cell a=3.6356 b=3.6356 c=7.9831 alpha=90.00 beta=90.00 gamma=120.00
Space group P3m1 (No. 156)
Symmetry-distinct sites (fractional):
Ba (0.0000, 0.0000, 0.0000) x1
Y (0.6667, 0.3333, 0.4293) x1
Mn (0.3333, 0.6667, 0.6865) x1

The energy above the most stable polymorph in this dataset comes out at 0.0 meV/atom.

***

# 13
Compound: BaMnZn2
Source: Alexandria
Functional: PBEsol
Structure: optimized geometry

Unit cell a=7.141 b=7.141 c=7.141 alpha=90.00 beta=90.00 gamma=90.00
Space group Fm-3m (No. 225)
Symmetry-distinct sites (fractional):
Ba (0.000, 0.000, 0.000) x4
Mn (0.000, 0.000, 0.500) x4
Zn (0.250, 0.250, 0.250) x8

For the total energy, the calculation gives -3.38 eV per atom.

***

# 14
Compound: BaZr2Mn
Source: Alexandria
Functional: PBEsol
Structure: optimized geometry

Unit cell a=7.258 b=7.258 c=7.258 alpha=90.00 beta=90.00 gamma=90.00
Space group F-43m (No. 216)
Symmetry-distinct sites (fractional):
Ba (0.000, 0.000, 0.000) x4
Zr (0.000, 0.000, 0.500) x4
Zr (0.250, 0.250, 0.250) x4
Mn (0.250, 0.250, 0.750) x4

The energy above the most stable polymorph in this dataset comes out at 414.5 meV/atom.

***

# 15
Compound: BaZrMn
Source: Alexandria
Functional: PBEsol
Structure: optimized geometry

Unit cell a=6.762 b=6.762 c=6.762 alpha=90.00 beta=90.00 gamma=90.00
Space group F-43m (No. 216)
Symmetry-distinct sites (fractional):
Ba (0.000, 0.000, 0.000) x4
Zr (0.250, 0.250, 0.250) x4
Mn (0.250, 0.250, 0.750) x4

The energy above the most stable polymorph in this dataset comes out at 912.6 meV/atom.

***

# 16
Compound: BaZrMn2
Source: Alexandria
Functional: PBEsol
Structure: optimized geometry

Unit cell a=3.551 b=3.551 c=7.027 alpha=90.00 beta=90.00 gamma=90.00
Space group P4/mmm (No. 123)
Symmetry-distinct sites (fractional):
Ba (0.000, 0.000, 0.000) x1
Zr (0.000, 0.000, 0.500) x1
Mn (0.500, 0.500, 0.360) x2

The energy above the most stable polymorph in this dataset comes out at 93.0 meV/atom.

***

# 17
Compound: BaZrMn2
Source: Alexandria
Functional: PBEsol
Structure: optimized geometry

Unit cell a=3.102 b=3.102 c=8.777 alpha=90.00 beta=90.00 gamma=90.00
Space group P4mm (No. 99)
Symmetry-distinct sites (fractional):
Ba (0.000, 0.000, 0.000) x1
Zr (0.500, 0.500, 0.369) x1
Mn (0.000, 0.000, 0.579) x1
Mn (0.500, 0.500, 0.697) x1

The energy above the most stable polymorph in this dataset comes out at 0.0 meV/atom.

***

# 18
Compound: BaZr2Mn
Source: Alexandria
Functional: PBEsol
Structure: optimized geometry

Unit cell a=4.582 b=4.582 c=9.003 alpha=90.00 beta=90.00 gamma=90.00
Space group I-4m2 (No. 119)
Symmetry-distinct sites (fractional):
Ba (0.000, 0.000, 0.000) x2
Zr (0.000, 0.000, 0.500) x2
Zr (0.000, 0.500, 0.750) x2
Mn (0.000, 0.500, 0.250) x2

The energy above the most stable polymorph in this dataset comes out at 389.3 meV/atom.

***

# 19
Compound: BaZrMn
Source: Alexandria
Functional: PBEsol
Structure: optimized geometry

Unit cell a=3.4879 b=3.4879 c=7.1383 alpha=90.00 beta=90.00 gamma=120.00
Space group P3m1 (No. 156)
Symmetry-distinct sites (fractional):
Ba (0.0000, 0.0000, 0.0000) x1
Zr (0.6667, 0.3333, 0.4442) x1
Mn (0.3333, 0.6667, 0.6671) x1

The energy above the most stable polymorph in this dataset comes out at 0.0 meV/atom.

***

# 20
Compound: BaZr2Mn
Source: Alexandria
Functional: PBEsol
Structure: optimized geometry

Unit cell a=3.466 b=3.466 c=8.318 alpha=90.00 beta=90.00 gamma=90.00
Space group P4mm (No. 99)
Symmetry-distinct sites (fractional):
Ba (0.000, 0.000, 0.000) x1
Zr (0.000, 0.000, 0.421) x1
Zr (0.500, 0.500, 0.643) x1
Mn (0.500, 0.500, 0.288) x1

The energy above the most stable polymorph in this dataset comes out at 0.0 meV/atom.

***

# 21
Compound: BaZrMn
Source: Alexandria
Functional: PBEsol
Structure: optimized geometry

Unit cell a=6.704 b=6.704 c=6.704 alpha=90.00 beta=90.00 gamma=90.00
Space group F-43m (No. 216)
Symmetry-distinct sites (fractional):
Ba (0.000, 0.000, 0.000) x4
Zr (0.000, 0.000, 0.500) x4
Mn (0.250, 0.250, 0.250) x4

The energy above the most stable polymorph in this dataset comes out at 275.4 meV/atom.

***

# 22
Compound: BaZr2Mn
Source: Alexandria
Functional: PBEsol
Structure: optimized geometry

Unit cell a=3.307 b=5.313 c=5.320 alpha=90.00 beta=90.00 gamma=90.00
Space group Pmmm (No. 47)
Symmetry-distinct sites (fractional):
Ba (0.000, 0.000, 0.000) x1
Zr (0.000, 0.500, 0.500) x1
Zr (0.500, 0.500, 0.000) x1
Mn (0.500, 0.000, 0.500) x1

The energy above the most stable polymorph in this dataset comes out at 338.8 meV/atom.

***

# 23
Compound: BaMo3
Source: Alexandria
Functional: PBEsol
Structure: optimized geometry

Unit cell a=3.1024 b=3.1024 c=28.8053 alpha=90.00 beta=90.00 gamma=120.00
Space group R-3m (No. 166, hexagonal axes)
Symmetry-distinct sites (fractional):
Ba (0.0000, 0.0000, 0.0000) x3
Mo (0.0000, 0.0000, 0.2318) x6
Mo (0.0000, 0.0000, 0.5000) x3

The energy above the most stable polymorph in this dataset comes out at 0.0 meV/atom.

***

# 24
Compound: BaMo3
Source: Alexandria
Functional: PBEsol
Structure: optimized geometry

Unit cell a=4.236 b=4.236 c=4.236 alpha=90.00 beta=90.00 gamma=90.00
Space group Pm-3m (No. 221)
Symmetry-distinct sites (fractional):
Ba (0.000, 0.000, 0.000) x1
Mo (0.000, 0.500, 0.500) x3

The energy above the most stable polymorph in this dataset comes out at 883.4 meV/atom.

***

# 25
Compound: BaMo
Source: Alexandria
Functional: PBEsol
Structure: optimized geometry

Unit cell a=14.669 b=3.700 c=7.973 alpha=90.00 beta=116.01 gamma=90.00
Space group Cm (No. 8)
Symmetry-distinct sites (fractional):
Ba (0.000, 0.000, 0.000) x2
Ba (0.027, 0.000, 0.545) x2
Ba (0.247, 0.500, 0.406) x2
Mo (0.219, 0.500, 0.932) x2
Mo (0.284, 0.000, 0.798) x2
Mo (0.335, 0.000, 0.121) x2

The energy above the most stable polymorph in this dataset comes out at 0.0 meV/atom.

***

# 26
Compound: BaMo2
Source: Alexandria
Functional: PBEsol
Structure: optimized geometry

Unit cell a=7.986 b=7.986 c=7.986 alpha=90.00 beta=90.00 gamma=90.00
Space group Fd-3m (No. 227, origin choice 2)
Symmetry-distinct sites (fractional):
Ba (0.125, 0.125, 0.125) x8
Mo (0.000, 0.000, 0.500) x16

The energy above the most stable polymorph in this dataset comes out at 414.1 meV/atom.

***

# 27
Compound: BaMo2
Source: Alexandria
Functional: PBEsol
Structure: optimized geometry

Unit cell a=3.172 b=23.303 c=4.211 alpha=90.00 beta=90.00 gamma=90.00
Space group Cmcm (No. 63)
Symmetry-distinct sites (fractional):
Ba (0.000, 0.172, 0.250) x4
Mo (0.000, 0.047, 0.750) x4
Mo (0.000, 0.452, 0.750) x4

The energy above the most stable polymorph in this dataset comes out at 0.0 meV/atom.

***

# 28
Compound: BaMo
Source: Alexandria
Functional: PBEsol
Structure: optimized geometry

Unit cell a=4.383 b=3.241 c=8.952 alpha=90.00 beta=90.00 gamma=90.00
Space group Pmma (No. 51)
Symmetry-distinct sites (fractional):
Ba (0.250, 0.000, 0.208) x2
Mo (0.250, 0.500, 0.543) x2

The energy above the most stable polymorph in this dataset comes out at 99.1 meV/atom.

***

# 29
Compound: Ba3MoN
Source: Alexandria
Functional: PBEsol
Structure: optimized geometry

Unit cell a=5.608 b=5.608 c=5.608 alpha=90.00 beta=90.00 gamma=90.00
Space group Pm-3m (No. 221)
Symmetry-distinct sites (fractional):
Ba (0.000, 0.000, 0.500) x3
Mo (0.000, 0.000, 0.000) x1
N (0.500, 0.500, 0.500) x1

The formation energy (no corrections) is 1401 meV/atom.

***

# 30
Compound: Ba3Mo2N2O6
Source: Alexandria
Functional: PBEsol
Structure: optimized geometry

Unit cell a=5.9438 b=5.9438 c=21.3918 alpha=90.00 beta=90.00 gamma=120.00
Space group R-3m (No. 166, hexagonal axes)
Symmetry-distinct sites (fractional):
Ba (0.0000, 0.0000, 0.0000) x3
Ba (0.0000, 0.0000, 0.2024) x6
Mo (0.0000, 0.0000, 0.4073) x6
N (0.0000, 0.0000, 0.3266) x6
O (0.0013, 0.5006, 0.7688) x18

The formation energy (no corrections) is -2152 meV/atom.